1.
HoHfN | PBE-GGA | relaxed

Cell lengths 5.5734, 3.3305, 3.3305 Å; angles 120.00, 90.00, 90.00 degrees
With the nearest neighbours (Å) after each atom.
Fractional positions:
Hf: 0.2241 0.3333 0.6667  3 N 2.24
Ho: 0.7581 0.6667 0.3333  3 N 2.41
N: 0.0178 0.0000 0.0000  3 Hf 2.24, 3 Ho 2.41

Properties
**Calculated total energy**: -26.102 eV for the cell shown
**Uncorrected formation energy**: -1082 meV per atom
**Spin magnetization**: 0.22 μB per cell

2.
Ho3HfN4 | PBE-GGA | relaxed

Cell lengths 3.3694, 5.8497, 5.8497 Å; angles 109.24, 90.00, 90.00 degrees
With the nearest neighbours (Å) after each atom.
Fractional positions:
Hf: 0.5000 0.0000 0.0000  6 N 2.29-2.31
Ho: 0.0000 0.0000 0.5000  6 N 2.39
Ho: 0.5000 0.5000 0.5000  6 N 2.47-2.48
Ho: 0.0000 0.5000 0.0000  6 N 2.39
N: 0.0000 0.2340 0.2340  2 Hf 2.31, 4 Ho 2.39-2.47
N: 0.5000 0.7598 0.2402  1 Hf 2.29, 5 Ho 2.39-2.48
N: 0.0000 0.7660 0.7660  2 Hf 2.31, 4 Ho 2.39-2.47
N: 0.5000 0.2402 0.7598  1 Hf 2.29, 5 Ho 2.39-2.48

Properties
**Calculated total energy**: -71.302 eV for the cell shown
**Uncorrected formation energy**: -1789 meV per atom
**Spin magnetization**: 0.00 μB per cell

3.
HoHf2N3 | PBE-GGA | relaxed

Cell lengths 3.2617, 4.6406, 5.6902 Å; angles 114.06, 106.65, 90.00 degrees
With the nearest neighbours (Å) after each atom.
Fractional positions:
Ho: 0.5000 0.5000 0.5000  6 N 2.32-2.39
Hf: 0.8340 0.8340 0.1681  6 N 2.25-2.32
Hf: 0.1660 0.1660 0.8319  6 N 2.25-2.32
N: 0.8230 0.3230 0.1459  4 Hf 2.25-2.32, 2 Ho 2.39
N: 0.1770 0.6770 0.8541  4 Hf 2.25-2.32, 2 Ho 2.39
N: 0.5000 0.0000 0.5000  4 Hf 2.31, 2 Ho 2.32

Properties
**Calculated total energy**: -60.056 eV for the cell shown
**Uncorrected formation energy**: -1766 meV per atom
**Spin magnetization**: 0.00 μB per cell

4.
Ho3HfN4 | PBE-GGA | relaxed

Cell lengths 4.7796, 4.7796, 4.7796 Å; angles 90.00, 90.00, 90.00 degrees
With the nearest neighbours (Å) after each atom.
Fractional positions:
Ho: 0.0000 0.5000 0.5000  6 N 2.39
Ho: 0.5000 0.0000 0.5000  6 N 2.39
Ho: 0.5000 0.5000 0.0000  6 N 2.39
Hf: 0.0000 0.0000 0.0000  6 N 2.39
N: 0.5000 0.0000 0.0000  2 Hf 2.39, 4 Ho 2.39
N: 0.0000 0.5000 0.0000  2 Hf 2.39, 4 Ho 2.39
N: 0.0000 0.0000 0.5000  2 Hf 2.39, 4 Ho 2.39
N: 0.5000 0.5000 0.5000  6 Ho 2.39

Properties
**Calculated total energy**: -70.799 eV for the cell shown
**Uncorrected formation energy**: -1726 meV per atom
**Spin magnetization**: 0.00 μB per cell

5.
HoHfN | PBE-GGA | relaxed

Cell lengths 4.4552, 4.4552, 5.2511 Å; angles 90.00, 90.00, 90.00 degrees
With the nearest neighbours (Å) after each atom.
Fractional positions:
Ho: 0.0000 0.5000 0.0000  2 N 2.63
Ho: 0.5000 0.0000 0.0000  2 N 2.63
N: 0.0000 0.5000 0.5000  4 Hf 2.23
N: 0.5000 0.0000 0.5000  4 Hf 2.23
Hf: 0.5000 0.5000 0.5000  4 N 2.23
Hf: 0.0000 0.0000 0.5000  4 N 2.23

Properties
**Calculated total energy**: -52.045 eV for the cell shown
**Uncorrected formation energy**: -1055 meV per atom
**Spin magnetization**: 0.00 μB per cell

6.
Ho2HfN | PBE-GGA | relaxed

Cell lengths 3.3197, 3.3197, 9.2772 Å; angles 79.69, 79.69, 60.00 degrees
With the nearest neighbours (Å) after each atom.
Fractional positions:
Hf: 0.0000 0.0000 0.0000  2 Ho 3.19, 6 Hf 3.32
Ho: 0.1170 0.1170 0.6489  3 N 2.35
Ho: 0.8830 0.8830 0.3511  3 N 2.35
N: 0.5000 0.5000 0.5000  6 Ho 2.35

Properties
**Calculated total energy**: -29.503 eV for the cell shown
**Uncorrected formation energy**: -517 meV per atom
**Spin magnetization**: 0.00 μB per cell

7.
HoHf3N4 | PBE-GGA | relaxed

Cell lengths 3.2494, 3.2494, 21.4464 Å; angles 90.00, 90.00, 120.00 degrees
With the nearest neighbours (Å) after each atom.
Fractional positions:
Hf: 0.0000 0.0000 0.0000  6 N 2.28
Hf: 0.0000 0.0000 0.5000  6 N 2.28
Hf: 0.3333 0.6667 0.8782  6 N 2.23-2.29
Hf: 0.6667 0.3333 0.1218  6 N 2.23-2.29
Hf: 0.6667 0.3333 0.3782  6 N 2.23-2.29
Hf: 0.3333 0.6667 0.6218  6 N 2.23-2.29
Ho: 0.6667 0.3333 0.7500  6 N 2.43
Ho: 0.3333 0.6667 0.2500  6 N 2.43
N: 0.6667 0.3333 0.9397  6 Hf 2.28-2.29
N: 0.3333 0.6667 0.0603  6 Hf 2.28-2.29
N: 0.3333 0.6667 0.4397  6 Hf 2.28-2.29
N: 0.6667 0.3333 0.5603  6 Hf 2.28-2.29
N: 0.0000 0.0000 0.8218  3 Hf 2.23, 3 Ho 2.43
N: 0.0000 0.0000 0.1782  3 Hf 2.23, 3 Ho 2.43
N: 0.0000 0.0000 0.3218  3 Hf 2.23, 3 Ho 2.43
N: 0.0000 0.0000 0.6782  3 Hf 2.23, 3 Ho 2.43

Properties
**Calculated total energy**: -163.699 eV for the cell shown
**Uncorrected formation energy**: -1764 meV per atom
**Spin magnetization**: 0.00 μB per cell

8.
HoHfN2 | PBE-GGA | relaxed

Cell lengths 3.2526, 3.2526, 6.0163 Å; angles 74.32, 74.32, 60.00 degrees
With the nearest neighbours (Å) after each atom.
Fractional positions:
Ho: 0.4959 0.4959 0.5122  6 N 2.41-2.51
Hf: 0.6700 0.6700 0.9901  6 N 2.24-2.29
N: 0.0742 0.0742 0.7774  3 Hf 2.24, 3 Ho 2.41
N: 0.2599 0.2599 0.2203  3 Hf 2.29, 3 Ho 2.51

Properties
**Calculated total energy**: -37.557 eV for the cell shown
**Uncorrected formation energy**: -1594 meV per atom
**Spin magnetization**: 0.00 μB per cell

Which of these has the lowest uncorrected formation energy?
number 2

Look up the spin magnetization of the fifth one.
0.00 μB per cell